# 1
Pr8BeS3Br4 | PBE-GGA | relaxed

Geometry as POSCAR:
```
Pr8BeS3Br4
1.0
8.291 0.000 0.000
0.000 8.806 0.361
-4.145 -4.144 5.863
Be Br Pr S
1 4 8 3
direct
0.000 0.500 0.000
0.500 0.000 0.500
0.500 0.000 0.000
0.000 0.000 0.000
0.000 0.000 0.500
0.739 0.702 0.970
0.231 0.702 0.970
0.769 0.298 0.030
0.261 0.298 0.030
0.733 0.698 0.465
0.231 0.702 0.462
0.769 0.298 0.538
0.267 0.302 0.535
0.500 0.500 0.500
0.000 0.500 0.500
0.500 0.500 0.000
```

Values from the calculation:
The space group is R-3m. For the formation energy without anion corrections, the calculation gives -1.372 eV/atom. For the calculated total energy, the calculation gives -5.19 eV per atom.


# 2
KGa2H2 | PBE-GGA | relaxed

Geometry as POSCAR:
```
KGa2H2
1.0
3.648 0.000 0.000
0.000 3.648 0.000
1.824 1.824 6.966
Ga K H
2 1 2
direct
0.319 0.319 0.361
0.681 0.681 0.639
0.000 0.000 0.000
0.250 0.750 0.500
0.750 0.250 0.500
```

Values from the calculation:
The space group is I4/mmm. For the calculated total energy, the calculation gives -2.57 eV per atom. The value obtained for the relative energy among the computed polymorphs is 0 meV per atom.


# 3
Y3NiSn3 | PBE-GGA | relaxed

Geometry as POSCAR:
```
Y3NiSn3
1.0
4.410 0.000 0.664
2.174 5.563 0.540
0.123 0.073 14.152
Y Sn Ni
6 6 2
direct
0.257 0.251 0.234
0.475 0.668 0.383
0.406 0.268 0.919
0.525 0.332 0.617
0.594 0.732 0.081
0.743 0.749 0.766
0.868 0.188 0.076
0.849 0.761 0.541
0.967 0.825 0.240
0.151 0.239 0.459
0.033 0.175 0.760
0.132 0.812 0.924
0.758 0.093 0.391
0.242 0.907 0.609
```

Values from the calculation:
The space group is C2/m. For the calculated total energy, the calculation gives -6.03 eV per atom. For the formation energy, the calculation gives -0.72 eV/atom.


# 4
CoBr2Cl | PBE-GGA | relaxed

Geometry as POSCAR:
```
CoBr2Cl
1.0
5.020 0.000 0.000
0.000 5.020 0.000
0.000 0.000 3.440
Co Cl Br
1 1 2
direct
0.000 0.500 0.500
0.500 0.000 0.500
0.500 0.500 0.000
0.000 0.000 0.000
```

Values from the calculation:
The space group is P4/mmm. For the formation energy without anion corrections, the calculation gives 0.705 eV/atom. For the calculated total energy, the calculation gives -2.37 eV per atom. The value obtained for the relative energy among the computed polymorphs is 1032 meV per atom.


# 5
LiLaTlIr | PBE-GGA | relaxed

Geometry as POSCAR:
```
LiLaTlIr
1.0
-4.444 1.065 -1.874
-1.559 -2.268 -4.101
-3.646 -3.323 0.249
La Ir Tl Li
1 1 1 1
direct
0.750 0.750 0.750
0.500 0.500 0.500
0.250 0.250 0.250
0.000 0.000 0.000
```

Values from the calculation:
The space group is F-43m. For the calculated total energy, the calculation gives -4.82 eV per atom. For the formation energy, the calculation gives -0.30 eV/atom.


# 6
Zr3Mn3N | PBE-GGA | relaxed

Geometry as POSCAR:
```
Zr3Mn3N
1.0
7.256 0.000 4.189
2.419 6.841 4.189
0.000 0.000 8.378
N Zr Mn
4 12 12
direct
0.125 0.625 0.125
0.125 0.125 0.125
0.125 0.125 0.625
0.625 0.125 0.125
0.806 0.194 0.806
0.194 0.806 0.194
0.194 0.194 0.806
0.444 0.056 0.056
0.056 0.444 0.056
0.056 0.444 0.444
0.806 0.194 0.194
0.806 0.806 0.194
0.444 0.444 0.056
0.194 0.806 0.806
0.056 0.056 0.444
0.444 0.056 0.444
0.824 0.824 0.824
0.625 0.625 0.625
0.625 0.625 0.125
0.426 0.426 0.426
0.527 0.824 0.824
0.426 0.723 0.426
0.824 0.527 0.824
0.824 0.824 0.527
0.125 0.625 0.625
0.625 0.125 0.625
0.426 0.426 0.723
0.723 0.426 0.426
```

Values from the calculation:
The space group is Fd-3m. For the formation energy without anion corrections, the calculation gives -0.593 eV/atom. For the calculated total energy, the calculation gives -9.38 eV per atom.